Compound: Rb2TcPbO4
Source: Alexandria via LeMat-Bulk
Functional: PBE
Structure: relaxed

Calculated values
The uncorrected formation energy comes out at -1232 meV/atom. The symmetry is I-4. Its density of states at the Fermi level is 2.19 states/eV per cell. The value obtained for the size of the total moment is 0.8 μB per cell. The calculated density is 5.43 g cm⁻³.

a b c (Å): 6.0334 6.0334 6.0334
angles (deg): 114.84 114.84 99.19
With the nearest neighbours (Å) after each atom.
Positions (direct):
Rb 0.0000 0.0000 0.0000  4 O 2.94
Rb 0.7500 0.2500 0.5000  4 O 2.93
Tc 0.2500 0.7500 0.5000  4 O 1.88
Pb 0.5000 0.5000 0.0000  4 O 2.47
O 0.1732 0.6132 0.1198  1 Tc 1.88
O 0.3868 0.5066 0.5600  1 Tc 1.88
O 0.4934 0.0534 0.8802  1 Tc 1.88
O 0.9466 0.8268 0.4400  1 Tc 1.88